[1]
MgCr2Au, relaxed, DFT PBE; density of states at the Fermi level = 5.31 states/eV/cell; ΔE_f = 0.4539 eV per atom; density = 9.18 g cm⁻³; space-group type = Cmmm, No. 65
1.0
-3.8967 -3.2571 0.0344
2.4508 1.0689 4.3180
-1.6612 1.9922 0.4497
Mg Cr Au
1 2 1
Cartesian
-2.7790 -0.6324 0.2420
-0.7230 -1.0941 2.1762
0.0000 0.0000 0.0000
0.3948 1.5305 2.3839



[2]
MgCrAu2, relaxed, DFT PBE; density of states at the Fermi level = 1.65 states/eV/cell; ΔE_f = -0.2143 eV per atom; density = 11.19 g cm⁻³; space-group type = P4/mmm, No. 123
1.0
4.4653 0.2120 0.0000
-0.2141 4.4652 0.0000
0.0000 0.0000 3.4919
Mg Cr Au
1 1 2
Cartesian
-0.1071 2.2326 1.7460
2.2327 0.1060 1.7460
0.0000 0.0000 0.0000
2.1256 2.3386 0.0000



[3]
MgCr2Au, relaxed, DFT PBE; density of states at the Fermi level = 2.31 states/eV/cell; ΔE_f = 0.0515 eV per atom; density = 8.54 g cm⁻³; space-group type = Pmm2, No. 25
1.0
-1.6340 -0.2258 -2.6281
1.1429 -2.8751 -0.4636
-3.8614 -5.3974 2.8646
Au Cr Mg
1 2 1
Cartesian
-2.8963 -6.3374 0.5136
0.9379 -2.9787 -0.3272
-1.2622 -2.0631 -0.8697
-1.3481 -4.1304 1.1931



[4]
Mg4CrAu, relaxed, DFT PBE; density of states at the Fermi level = 2.00 states/eV/cell; ΔE_f = 0.2464 eV per atom; density = 4.75 g cm⁻³; space-group type = F-43m, No. 216
1.0
0.0000 3.9268 3.9268
3.9268 0.0000 3.9268
3.9268 3.9268 0.0000
Mg Cr Au
4 1 1
Cartesian
2.9482 4.9054 4.9054
4.9054 2.9482 4.9054
4.9054 4.9054 2.9482
2.9482 2.9482 2.9482
0.0000 0.0000 0.0000
5.8902 5.8902 5.8902



[5]
MgCrAu2, relaxed, DFT PBE; density of states at the Fermi level = 4.17 states/eV/cell; ΔE_f = 0.2131 eV per atom; density = 10.01 g cm⁻³; space-group type = I-42d, No. 122
1.0
-3.9957 0.7559 -0.0933
-0.5635 -2.5982 3.0785
-1.0919 6.1170 7.6502
Mg Au Cr
2 4 2
Cartesian
-2.2796 -0.9212 1.4926
-1.9674 1.2988 6.1106
-2.8397 1.6767 2.2390
-2.5287 3.8962 6.8578
-4.8080 2.9764 8.3489
-1.1256 0.0000 3.8249
0.0000 0.0000 0.0000
-3.6835 2.9759 4.5247



[6]
MgCr2Au, relaxed, DFT PBE; density of states at the Fermi level = 4.48 states/eV/cell; ΔE_f = 0.6696 eV per atom; density = 6.70 g cm⁻³; space-group type = I-42d, No. 122
1.0
7.5874 0.0000 0.0000
0.0000 7.5874 0.0000
3.7937 3.7937 2.7987
Cr Mg Au
4 2 2
Cartesian
5.8850 1.8968 0.6997
5.6905 5.4961 2.0990
9.4842 9.6787 2.0990
1.7024 5.6905 0.6997
3.7937 3.7937 0.0000
3.7937 7.5874 1.3994
0.0000 0.0000 0.0000
7.5874 3.7937 1.3994